[1]
VASP calculation (PBE) on a relaxed structure of Na2HoSnTe4.

Unit cell a=7.725 b=4.371 c=7.996 alpha=90.00 beta=108.49 gamma=90.00
Space group P2/m (No. 10)
Inequivalent atoms, fractional coordinates:
Na (0.000, 0.000, 0.000) (multiplicity 1)
Na (0.500, 0.500, 0.000) (multiplicity 1)
Ho (0.000, 0.500, 0.500) (multiplicity 1)
Sn (0.500, 0.000, 0.500) (multiplicity 1)
Te (0.243, 0.000, 0.729) (multiplicity 2)
Te (0.254, 0.500, 0.270) (multiplicity 2)

Computed properties:
Fermi-level density of states (states/eV/f.u.): 2.4
Energy (eV per atom): -3.860
Formation energy (no corrections) (eV/atom): -0.89

---

[2]
VASP calculation (PBE) on a relaxed structure of NaHoSn2Te4.

Unit cell a=7.769 b=4.478 c=7.832 alpha=90.00 beta=108.63 gamma=90.00
Space group P2/m (No. 10)
Inequivalent atoms, fractional coordinates:
Na (0.000, 0.000, 0.000) (multiplicity 1)
Ho (0.500, 0.500, 0.000) (multiplicity 1)
Sn (0.000, 0.500, 0.500) (multiplicity 1)
Sn (0.500, 0.000, 0.500) (multiplicity 1)
Te (0.260, 0.500, 0.246) (multiplicity 2)
Te (0.262, 0.000, 0.759) (multiplicity 2)

Computed properties:
Energy (eV per atom): -4.043
Formation energy (no corrections) (eV/atom): -0.73

---

[3]
VASP calculation (PBE) on a relaxed structure of Na4Ho3SnTe8.

Unit cell a=8.8489 b=8.8489 c=22.6566 alpha=90.00 beta=90.00 gamma=120.00
Space group R-3m (No. 166, hexagonal axes)
Inequivalent atoms, fractional coordinates:
Na (0.0000, 0.0000, 0.0000) (multiplicity 3)
Na (0.0000, 0.5000, 0.0000) (multiplicity 9)
Ho (0.0000, 0.5000, 0.5000) (multiplicity 9)
Sn (0.0000, 0.0000, 0.5000) (multiplicity 3)
Te (0.0000, 0.0000, 0.2438) (multiplicity 6)
Te (0.9997, 0.4998, 0.2431) (multiplicity 18)

Computed properties:
Fermi-level density of states (states/eV/f.u.): 2.2
Energy (eV per atom): -4.105
Formation energy (no corrections) (eV/atom): -1.10

---

[4]
VASP calculation (PBE) on a relaxed structure of NaHoZnSn.

Unit cell a=7.276 b=7.276 c=7.276 alpha=90.00 beta=90.00 gamma=90.00
Space group F-43m (No. 216)
Inequivalent atoms, fractional coordinates:
Na (0.000, 0.000, 0.000) (multiplicity 4)
Ho (0.000, 0.000, 0.500) (multiplicity 4)
Zn (0.250, 0.250, 0.250) (multiplicity 4)
Sn (0.250, 0.250, 0.750) (multiplicity 4)

Computed properties:
Fermi-level density of states (states/eV/f.u.): 1.2
Energy (eV per atom): -3.091
DFT formation energy (meV per atom): -297

---

[5]
VASP calculation (PBE) on a relaxed structure of NaSr2Ho.

Unit cell a=3.7942 b=3.7942 c=41.3948 alpha=90.00 beta=90.00 gamma=120.00
Space group R-3m (No. 166, hexagonal axes)
Inequivalent atoms, fractional coordinates:
Na (0.0000, 0.0000, 0.0000) (multiplicity 3)
Sr (0.0000, 0.0000, 0.4146) (multiplicity 6)
Ho (0.0000, 0.0000, 0.5000) (multiplicity 3)

Computed properties:
Fermi-level density of states (states/eV/f.u.): 4.1
Energy (eV per atom): -1.973
DFT formation energy (meV per atom): 342
Energy above the lowest structure with this stoichiometry (meV/atom): 193.0

---

[6]
VASP calculation (PBE) on a relaxed structure of Na2SrHo.

Unit cell a=3.6764 b=3.6764 c=41.1022 alpha=90.00 beta=90.00 gamma=120.00
Space group R-3m (No. 166, hexagonal axes)
Inequivalent atoms, fractional coordinates:
Na (0.0000, 0.0000, 0.0841) (multiplicity 6)
Sr (0.0000, 0.0000, 0.5000) (multiplicity 3)
Ho (0.0000, 0.0000, 0.0000) (multiplicity 3)

Computed properties:
Fermi-level density of states (states/eV/f.u.): 5.5
Energy (eV per atom): -1.870
DFT formation energy (meV per atom): 354

---

[7]
VASP calculation (PBE) on a relaxed structure of NaSr2Ho.

Unit cell a=3.906 b=3.906 c=11.235 alpha=90.00 beta=90.00 gamma=90.00
Space group P4/mmm (No. 123)
Inequivalent atoms, fractional coordinates:
Na (0.000, 0.000, 0.000) (multiplicity 1)
Sr (0.500, 0.500, 0.258) (multiplicity 2)
Ho (0.000, 0.000, 0.500) (multiplicity 1)

Computed properties:
Fermi-level density of states (states/eV/f.u.): 4.7
Energy (eV per atom): -2.166
DFT formation energy (meV per atom): 149
Energy above the lowest structure with this stoichiometry (meV/atom): 0.0

---

[8]
VASP calculation (PBE) on a relaxed structure of NaSr4Ho3Te8.

Unit cell a=9.0787 b=9.0787 c=22.4177 alpha=90.00 beta=90.00 gamma=120.00
Space group R-3m (No. 166, hexagonal axes)
Inequivalent atoms, fractional coordinates:
Na (0.0000, 0.0000, 0.0000) (multiplicity 3)
Sr (0.0000, 0.0000, 0.5000) (multiplicity 3)
Sr (0.0000, 0.5000, 0.5000) (multiplicity 9)
Ho (0.0000, 0.5000, 0.0000) (multiplicity 9)
Te (0.0000, 0.0000, 0.2570) (multiplicity 6)
Te (0.0057, 0.5028, 0.2568) (multiplicity 18)

Computed properties:
Fermi-level density of states (states/eV/f.u.): 4.3
Energy (eV per atom): -4.422
Formation energy (no corrections) (eV/atom): -1.49